Record 1
The following is a GGA-PBEsol calculation of a geometry-optimized Li3Ir structure, from Alexandria.

Its total magnetic moment is 0.000 μB/f.u. The energy of formation from the pure elements is -0.0905 eV/atom. Its uncorrected energy is -4.02 eV per atom.

The structure belongs to space group Pnma (No. 62); the cell edges are 4.598, 8.818 and 5.445 Å and the angles 90.00°, 90.00° and 90.00°. The asymmetric unit holds Li at (0.075, 0.250, 0.151), Li at (0.233, 0.502, 0.397) and Ir at (0.083, 0.250, 0.669).

Record 2
The following is a GGA-PBEsol calculation of a geometry-optimized Li5Ir3 structure, from Alexandria.

Its total magnetic moment is 0.000 μB/f.u. The energy of formation from the pure elements is -0.0658 eV/atom. Its uncorrected energy is -4.98 eV per atom.

The structure belongs to space group Fmmm (No. 69); the cell edges are 5.015, 9.657 and 17.934 Å and the angles 90.00°, 90.00° and 90.00°. The asymmetric unit holds Li at (0.000, 0.125, 0.138), Li at (0.000, 0.140, 0.377), Li at (0.248, 0.000, 0.000), Ir at (0.000, 0.000, 0.264), Ir at (0.000, 0.241, 0.000) and Ir at (0.250, 0.250, 0.250).

Record 3
The following is a GGA-PBEsol calculation of a geometry-optimized LiIr2 structure, from Alexandria.

Its total magnetic moment is 0.000 μB/f.u. The energy of formation from the pure elements is -0.0972 eV/atom. Its uncorrected energy is -7.30 eV per atom.

The structure belongs to space group C2/m (No. 12); the cell edges are 9.608, 2.669 and 6.517 Å and the angles 90.00°, 101.00° and 90.00°. The asymmetric unit holds Li at (0.011, 0.000, 0.315), Ir at (0.135, 0.500, 0.020) and Ir at (0.225, 0.500, 0.655).

Record 4
The following is a GGA-PBEsol calculation of a geometry-optimized Li3Ir structure, from Alexandria.

Its total magnetic moment is 0.001 μB/f.u. The energy of formation from the pure elements is -0.0571 eV/atom. Its uncorrected energy is -3.99 eV per atom.

The structure belongs to space group Pmm2 (No. 25); the cell edges are 2.486, 4.467 and 4.957 Å and the angles 90.00°, 90.00° and 90.00°. The asymmetric unit holds Li at (0.000, 0.000, 0.000), Li at (0.000, 0.500, 0.309), Li at (0.500, 0.500, 0.756) and Ir at (0.500, 0.000, 0.497).

Record 5
The following is a GGA-PBEsol calculation of a geometry-optimized LiIr structure, from Alexandria.

Its total magnetic moment is 0.000 μB/f.u. The energy of formation from the pure elements is -0.1876 eV/atom. Its uncorrected energy is -6.08 eV per atom.

The structure belongs to space group P-6m2 (No. 187); the cell edges are 2.6372, 2.6372 and 4.3629 Å and the angles 90.00°, 90.00° and 120.00°. The asymmetric unit holds Li at (0.0000, 0.0000, 0.0000) and Ir at (0.6667, 0.3333, 0.5000).

Record 6
The following is a GGA-PBEsol calculation of a geometry-optimized LiIr2 structure, from Alexandria.

Its total magnetic moment is 0.000 μB/f.u. The energy of formation from the pure elements is 0.0696 eV/atom. Its uncorrected energy is -7.13 eV per atom.

The structure belongs to space group I4/mmm (No. 139); the cell edges are 2.667, 2.667 and 11.871 Å and the angles 90.00°, 90.00° and 90.00°. The asymmetric unit holds Li at (0.000, 0.000, 0.000) and Ir at (0.000, 0.000, 0.326).

Record 7
The following is a GGA-PBEsol calculation of a geometry-optimized Li2Ir structure, from Alexandria.

Its total magnetic moment is 0.000 μB/f.u. The energy of formation from the pure elements is -0.1208 eV/atom. Its uncorrected energy is -4.71 eV per atom.

The structure belongs to space group P-3m1 (No. 164); the cell edges are 2.6749, 2.6749 and 6.8971 Å and the angles 90.00°, 90.00° and 120.00°. The asymmetric unit holds Li at (0.3333, 0.6667, 0.3047) and Ir at (0.0000, 0.0000, 0.0000).

Record 8
The following is a GGA-PBEsol calculation of a geometry-optimized LiIr2 structure, from Alexandria.

Its total magnetic moment is 0.000 μB/f.u. The energy of formation from the pure elements is 0.1146 eV/atom. Its uncorrected energy is -7.09 eV per atom.

The structure belongs to space group P-3m1 (No. 164); the cell edges are 4.1169, 4.1169 and 2.6462 Å and the angles 90.00°, 90.00° and 120.00°. The asymmetric unit holds Li at (0.0000, 0.0000, 0.0000) and Ir at (0.3333, 0.6667, 0.7237).